VASP calculation (GGA-PBE) on crystalline Dy3Cd3Cu2Ag at its relaxed geometry.

a b c (Å): 7.5088 7.5088 3.9431
angles (deg): 90.00 90.00 120.00
Closest atoms and distances in Å follow each position.
Space group P-62m (No. 189)
One atom of each set of equivalent atoms:
Dy (0.0000, 0.5861, 0.0000)  4 Cu 3.00, 1 Ag 3.11, 2 Cd 3.12
Cd (0.0000, 0.2644, 0.5000)  2 Cu 2.80, 2 Ag 2.80, 2 Dy 3.12
Cu (0.3333, 0.6667, 0.5000)  3 Cd 2.80, 6 Dy 3.00
Ag (0.0000, 0.0000, 0.0000)  6 Cd 2.80, 3 Dy 3.11

Summary:
The calculation puts the volume at 21.39 A^3/atom. For the energy of formation from the pure elements, the calculation gives -302 meV/atom. The calculation puts the total DFT energy (no corrections) at -3.27 eV per atom.


VASP calculation (GGA-PBE) on crystalline LuAgSnS3 at its relaxed geometry.

a b c (Å): 3.9603 12.9816 10.2589
angles (deg): 90.00 90.00 90.00
Closest atoms and distances in Å follow each position.
Space group Cmcm (No. 63)
One atom of each set of equivalent atoms:
Lu (0.0000, 0.0000, 0.0000)  6 S 2.71-2.80
Ag (0.0000, 0.4537, 0.2500)  4 S 2.45-2.62
Sn (0.0000, 0.2611, 0.7500)  2 S 2.80
S (0.0000, 0.0862, 0.2500)  2 Ag 2.62, 2 Lu 2.80, 2 Sn 2.80
S (0.0000, 0.3609, 0.0417)  1 Ag 2.45, 2 Lu 2.71

Summary:
The calculation puts the volume at 21.98 A^3/atom. The calculation puts the total DFT energy (no corrections) at -4.89 eV per atom. For the distance to the lowest polymorph of the same formula, the calculation gives 6 kJ/mol of formula units.


VASP calculation (GGA-PBE) on crystalline HoTm3Sb4 at its relaxed geometry.

a b c (Å): 6.1391 6.1391 6.1391
angles (deg): 90.00 90.00 90.00
Closest atoms and distances in Å follow each position.
Space group Pm-3m (No. 221)
One atom of each set of equivalent atoms:
Ho (0.0000, 0.0000, 0.0000)  6 Sb 3.07
Tm (0.0000, 0.5000, 0.5000)  6 Sb 3.07
Sb (0.0000, 0.0000, 0.5000)  2 Ho 3.07, 4 Tm 3.07
Sb (0.5000, 0.5000, 0.5000)  6 Tm 3.07

Summary:
The calculation puts the volume at 28.92 A^3/atom. The calculation puts the total DFT energy (no corrections) at -5.39 eV per atom.


VASP calculation (GGA-PBE) on crystalline CdPb2Au at its relaxed geometry.

a b c (Å): 7.4420 7.4420 7.4420
angles (deg): 90.00 90.00 90.00
Closest atoms and distances in Å follow each position.
Space group F-43m (No. 216)
One atom of each set of equivalent atoms:
Cd (0.0000, 0.0000, 0.0000)  4 Pb 3.22, 4 Au 3.22
Pb (0.0000, 0.0000, 0.5000)  4 Au 3.22, 4 Pb 3.22
Pb (0.2500, 0.2500, 0.7500)  4 Pb 3.22, 4 Cd 3.22
Au (0.2500, 0.2500, 0.2500)  4 Cd 3.22, 4 Pb 3.22

Summary:
The calculation puts the volume at 25.76 A^3/atom. The calculation puts the total DFT energy (no corrections) at -2.81 eV per atom.


VASP calculation (GGA-PBE) on crystalline PaAgPt4 at its relaxed geometry.

a b c (Å): 7.5775 7.5775 7.5775
angles (deg): 90.00 90.00 90.00
Closest atoms and distances in Å follow each position.
Space group F-43m (No. 216)
One atom of each set of equivalent atoms:
Pa (0.0000, 0.0000, 0.0000)  12 Pt 3.14, 4 Ag 3.28
Ag (0.2500, 0.2500, 0.7500)  12 Pt 3.14, 4 Pa 3.28
Pt (0.1244, 0.1244, 0.3756)  6 Pt 2.67-2.69

Summary:
The calculation puts the volume at 18.13 A^3/atom. For the energy of formation from the pure elements, the calculation gives -732 meV/atom. The calculation puts the total DFT energy (no corrections) at -6.82 eV per atom.


VASP calculation (GGA-PBE) on crystalline CuGe2 at its relaxed geometry.

a b c (Å): 7.6079 7.6079 7.6079
angles (deg): 90.00 90.00 90.00
Closest atoms and distances in Å follow each position.
Space group Fd-3m (No. 227, origin choice 2)
One atom of each set of equivalent atoms:
Cu (0.1250, 0.1250, 0.1250)  12 Ge 3.15, 4 Cu 3.29
Ge (0.0000, 0.0000, 0.5000)  6 Ge 2.69

Summary:
The calculation puts the volume at 18.35 A^3/atom. The calculation puts the total DFT energy (no corrections) at -3.73 eV per atom.


VASP calculation (GGA-PBE) on crystalline BiTePd at its relaxed geometry.

a b c (Å): 10.6977 4.3114 6.9411
angles (deg): 90.00 90.00 90.00
Closest atoms and distances in Å follow each position.
Space group Pnma (No. 62)
One atom of each set of equivalent atoms:
Bi (0.1072, 0.2500, 0.1245)  4 Pd 2.86-2.95
Te (0.1340, 0.2500, 0.6330)  3 Pd 2.73-2.80
Pd (0.1675, 0.7500, 0.8699)  3 Te 2.73-2.80, 4 Bi 2.86-2.95

Summary:
The calculation puts the volume at 26.68 A^3/atom. The calculation puts the total DFT energy (no corrections) at -4.42 eV per atom. For the distance to the lowest polymorph of the same formula, the calculation gives 0 kJ/mol of formula units.


VASP calculation (GGA-PBE) on crystalline YNbPO at its relaxed geometry.

a b c (Å): 4.5208 5.8741 5.6663
angles (deg): 90.00 90.00 90.00
Closest atoms and distances in Å follow each position.
Space group Pmc2_1 (No. 26)
One atom of each set of equivalent atoms:
Y (0.0000, 0.2324, 0.0000)  2 O 2.31
Nb (0.5000, 0.3673, 0.5952)  2 O 2.07-2.08
P (0.0000, 0.2486, 0.5029)  2 Nb 2.42
O (0.5000, 0.3054, 0.9553)  2 Nb 2.07-2.08, 2 Y 2.31

Summary:
The calculation puts the volume at 18.81 A^3/atom. The calculation puts the total DFT energy (no corrections) at -8.20 eV per atom. For the distance to the lowest polymorph of the same formula, the calculation gives 188 kJ/mol of formula units.


VASP calculation (GGA-PBE) on crystalline Zn3TeP2Pb3O14 at its relaxed geometry.

a b c (Å): 8.3521 8.3521 5.2141
angles (deg): 90.00 90.00 120.00
Closest atoms and distances in Å follow each position.
Space group P321 (No. 150)
One atom of each set of equivalent atoms:
Zn (0.0000, 0.2456, 0.0000)  4 O 1.92-1.99
Te (0.0000, 0.0000, 0.5000)  6 O 1.94
P (0.3333, 0.6667, 0.0504)  4 O 1.54-1.56
Pb (0.0000, 0.5855, 0.5000)  2 O 2.38
O (0.0910, 0.8712, 0.7115)  1 Zn 1.92, 1 Te 1.94
O (0.1995, 0.4726, 0.1672)  1 P 1.56
O (0.3333, 0.6667, 0.7559)  1 P 1.54

Summary:
The calculation puts the volume at 13.70 A^3/atom. The calculation puts the total DFT energy (no corrections) at -5.93 eV per atom.


VASP calculation (GGA-PBE) on crystalline SmBeNb at its relaxed geometry.

a b c (Å): 6.5861 6.5861 6.5861
angles (deg): 90.00 90.00 90.00
Closest atoms and distances in Å follow each position.
Space group F-43m (No. 216)
One atom of each set of equivalent atoms:
Sm (0.0000, 0.0000, 0.0000)  4 Be 2.85, 4 Nb 2.85
Be (0.2500, 0.2500, 0.7500)  4 Sm 2.85
Nb (0.2500, 0.2500, 0.2500)  4 Sm 2.85

Summary:
The calculation puts the volume at 23.81 A^3/atom. The calculation puts the total DFT energy (no corrections) at -4.65 eV per atom. For the distance to the lowest polymorph of the same formula, the calculation gives 263 kJ/mol of formula units.


VASP calculation (GGA-PBE) on crystalline Ba2TlAgSb2 at its relaxed geometry.

a b c (Å): 4.9094 4.9094 9.9584
angles (deg): 90.00 90.00 120.00
Closest atoms and distances in Å follow each position.
Space group P3m1 (No. 156)
One atom of each set of equivalent atoms:
Ba (0.0000, 0.0000, 0.0000)  3 Tl 3.47, 3 Ag 3.63, 3 Sb 3.65
Ba (0.0000, 0.0000, 0.4684)  6 Sb 3.51-3.69, 3 Ag 3.71
Tl (0.6667, 0.3333, 0.7992)  3 Sb 3.08
Ag (0.3333, 0.6667, 0.2277)  3 Sb 2.83
Sb (0.3333, 0.6667, 0.6770)  3 Tl 3.08
Sb (0.6667, 0.3333, 0.2316)  3 Ag 2.83

Summary:
The calculation puts the volume at 34.64 A^3/atom. The calculation puts the total DFT energy (no corrections) at -3.59 eV per atom.


VASP calculation (GGA-PBE) on crystalline SmDyB2Pd2C2 at its relaxed geometry.

a b c (Å): 3.7921 3.7921 7.7811
angles (deg): 90.00 90.00 90.00
Closest atoms and distances in Å follow each position.
Space group P4mm (No. 99)
One atom of each set of equivalent atoms:
Sm (0.0000, 0.0000, 0.0000)  5 C 2.45-2.68
Dy (0.5000, 0.5000, 0.6774)  5 C 2.41-2.68
B (0.0000, 0.0000, 0.4954)  1 C 1.48
B (0.5000, 0.5000, 0.1771)  1 C 1.48
Pd (0.0000, 0.5000, 0.3389)  4 B 2.25-2.28
C (0.0000, 0.0000, 0.6850)  1 B 1.48
C (0.5000, 0.5000, 0.9870)  1 B 1.48

Summary:
The calculation puts the volume at 13.99 A^3/atom. The calculation puts the total DFT energy (no corrections) at -6.94 eV per atom.


VASP calculation (GGA-PBE) on crystalline LaZrCuPd at its relaxed geometry.

a b c (Å): 6.7563 6.7563 6.7563
angles (deg): 90.00 90.00 90.00
Closest atoms and distances in Å follow each position.
Space group F-43m (No. 216)
One atom of each set of equivalent atoms:
La (0.0000, 0.0000, 0.0000)  4 Zr 2.93, 4 Pd 2.93
Zr (0.2500, 0.2500, 0.2500)  4 La 2.93, 4 Cu 2.93
Cu (0.0000, 0.0000, 0.5000)  4 Pd 2.93, 4 Zr 2.93
Pd (0.2500, 0.2500, 0.7500)  4 La 2.93, 4 Cu 2.93

Summary:
The calculation puts the volume at 19.28 A^3/atom. For the energy of formation from the pure elements, the calculation gives -122 meV/atom. The calculation puts the total DFT energy (no corrections) at -5.71 eV per atom. For the distance to the lowest polymorph of the same formula, the calculation gives 46 kJ/mol of formula units.


VASP calculation (GGA-PBE) on crystalline Fe2Pb at its relaxed geometry.

a b c (Å): 12.1037 12.1037 12.1037
angles (deg): 90.00 90.00 90.00
Closest atoms and distances in Å follow each position.
Space group Fd-3m (No. 227, origin choice 2)
One atom of each set of equivalent atoms:
Fe (0.0000, 0.0000, 0.0000)  2 Pb 2.62
Pb (0.1250, 0.1250, 0.1250)  4 Fe 2.62

Summary:
The calculation puts the volume at 73.88 A^3/atom. The calculation puts the total DFT energy (no corrections) at -4.48 eV per atom.


VASP calculation (GGA-PBE) on crystalline DyIrNO at its relaxed geometry.

a b c (Å): 5.4984 7.8359 5.2353
angles (deg): 90.00 90.00 90.00
Closest atoms and distances in Å follow each position.
Space group Pca2_1 (No. 29)
One atom of each set of equivalent atoms:
Dy (0.0238, 0.1431, 0.0000)  4 O 2.20-2.23, 1 N 2.46
Ir (0.0781, 0.4736, 0.6719)  3 N 2.03-2.06
N (0.1347, 0.3461, 0.3380)  3 Ir 2.03-2.06
O (0.2502, 0.9784, 0.2465)  4 Dy 2.20-2.23

Summary:
The calculation puts the volume at 14.10 A^3/atom. The calculation puts the total DFT energy (no corrections) at -8.23 eV per atom. For the distance to the lowest polymorph of the same formula, the calculation gives 0 kJ/mol of formula units.


VASP calculation (GGA-PBE) on crystalline CsLiRe at its relaxed geometry.

a b c (Å): 7.4668 7.4668 7.4668
angles (deg): 90.00 90.00 90.00
Closest atoms and distances in Å follow each position.
Space group F-43m (No. 216)
One atom of each set of equivalent atoms:
Cs (0.0000, 0.0000, 0.0000)  4 Re 3.23, 4 Li 3.23
Li (0.2500, 0.2500, 0.7500)  4 Cs 3.23
Re (0.2500, 0.2500, 0.2500)  4 Cs 3.23

Summary:
The calculation puts the volume at 34.69 A^3/atom. The calculation puts the total DFT energy (no corrections) at -2.70 eV per atom. For the distance to the lowest polymorph of the same formula, the calculation gives 88 kJ/mol of formula units.


VASP calculation (GGA-PBE) on crystalline NdYGa4Pt2 at its relaxed geometry.

a b c (Å): 6.7645 4.4033 10.3693
angles (deg): 90.00 90.00 90.00
Closest atoms and distances in Å follow each position.
Space group Amm2 (No. 38)
One atom of each set of equivalent atoms:
Nd (0.0000, 0.0000, 0.0000)  3 Pt 2.99-3.11, 6 Ga 3.07-3.26
Y (0.5000, 0.0000, 0.1661)  3 Pt 3.00-3.10, 6 Ga 3.04-3.21
Ga (0.1983, 0.0000, 0.7137)  3 Pt 2.65-2.69, 2 Ga 2.68-2.84
Ga (0.3059, 0.0000, 0.4488)  2 Ga 2.63-2.84, 3 Pt 2.66-2.67
Pt (0.0000, 0.0000, 0.2879)  6 Ga 2.66-2.69
Pt (0.5000, 0.0000, 0.8771)  6 Ga 2.65-2.67

Summary:
The calculation puts the volume at 19.30 A^3/atom. The calculation puts the total DFT energy (no corrections) at -5.34 eV per atom.


VASP calculation (GGA-PBE) on crystalline CdH11C8N5Cl2 at its relaxed geometry.

a b c (Å): 6.6026 15.5798 12.9812
angles (deg): 90.00 117.37 90.00
Closest atoms and distances in Å follow each position.
Space group P2_1/c (No. 14)
One atom of each set of equivalent atoms:
Cd (0.1211, 0.1319, 0.3290)  3 N 2.27-2.40, 1 Cl 2.47
H (0.0430, 0.7094, 0.9174)  1 N 1.02
H (0.0558, 0.5961, 0.9300)  1 N 1.03
H (0.0574, 0.5333, 0.6448)  1 C 1.09
H (0.2871, 0.0584, 0.0188)  1 C 1.10
H (0.3267, 0.7074, 0.4800)  1 N 1.03
H (0.3279, 0.0424, 0.8940)  1 C 1.10
H (0.3318, 0.1842, 0.6758)  1 C 1.09
H (0.4215, 0.6850, 0.2760)  1 C 1.09
H (0.4261, 0.5410, 0.0598)  1 N 1.02
H (0.4597, 0.5960, 0.4823)  1 C 1.10
H (0.4810, 0.5405, 0.7565)  1 C 1.09
C (0.0158, 0.6709, 0.6526)  1 N 1.35, 2 C 1.40-1.48
C (0.1422, 0.5949, 0.6755)  1 H 1.09
C (0.2356, 0.1698, 0.9144)  1 N 1.30
C (0.3470, 0.7488, 0.2495)  1 H 1.09
C (0.3560, 0.0877, 0.9645)  3 H 1.10
C (0.3616, 0.6605, 0.0133)  3 N 1.31-1.39
C (0.3785, 0.5988, 0.7380)  1 H 1.09
C (0.4837, 0.6782, 0.7756)  1 H 1.09
N (0.1194, 0.7477, 0.6902)  2 C 1.34-1.35
N (0.1331, 0.6549, 0.9556)  2 H 1.02-1.03
N (0.3327, 0.2437, 0.9236)  1 C 1.30, 1 N 1.33
N (0.4430, 0.7437, 0.0189)  1 H 1.03
N (0.4941, 0.0977, 0.4373)  1 H 1.02
Cl (0.0252, 0.1428, 0.1160)  2 H 2.30-2.35, 1 Cd 2.54
Cl (0.1327, 0.5168, 0.1671)  2 H 2.19-2.44

Summary:
The calculation puts the volume at 10.98 A^3/atom. The calculation puts the total DFT energy (no corrections) at -6.00 eV per atom.


VASP calculation (GGA-PBE) on crystalline KRbCo2Se4 at its relaxed geometry.

a b c (Å): 7.2534 11.6248 5.4874
angles (deg): 90.00 112.25 90.00
Closest atoms and distances in Å follow each position.
Space group C2 (No. 5)
One atom of each set of equivalent atoms:
K (0.0000, 0.0000, 0.0000)  8 Se 3.43-3.57
Rb (0.0000, 0.2754, 0.5000)  8 Se 3.46-3.56
Co (0.0000, 0.6341, 0.5000)  4 Se 2.28-2.29
Co (0.0000, 0.6360, 0.0000)  4 Se 2.28-2.29
Se (0.1879, 0.7482, 0.8420)  2 Co 2.28
Se (0.1949, 0.5248, 0.3449)  2 Co 2.29

Summary:
The calculation puts the volume at 26.77 A^3/atom. The calculation puts the total DFT energy (no corrections) at -4.36 eV per atom.